1.
# PBE-GGA Ce6PuTh, optimized geometry
data_Ce6PuTh
_chemical_formula_sum 'Ce6 Pu1 Th1'
_symmetry_space_group_name_H-M 'P 1'
_symmetry_Int_Tables_number 1
_cell_length_a 4.748
_cell_length_b 4.748
_cell_length_c 9.437
_cell_angle_alpha 90.00
_cell_angle_beta 90.00
_cell_angle_gamma 90.00
loop_
_symmetry_equiv_pos_as_xyz
'x,y,z'
loop_
_atom_site_label
_atom_site_fract_x
_atom_site_fract_y
_atom_site_fract_z
Ce1 0.000 0.000 0.000
Ce2 0.000 0.000 0.500
Ce3 0.000 0.500 0.242
Ce4 0.000 0.500 0.758
Ce5 0.500 0.000 0.242
Ce6 0.500 0.000 0.758
Pu1 0.500 0.500 0.000
Th1 0.500 0.500 0.500
# E_form = 17 meV/atom
# total DFT energy (no corrections) = -7.152 eV per atom
# SG = P4/mmm (123)

***

2.
# PBE-GGA Ce5PuTh, optimized geometry
data_Ce5PuTh
_chemical_formula_sum 'Ce10 Pu2 Th2'
_symmetry_space_group_name_H-M 'P 1'
_symmetry_Int_Tables_number 1
_cell_length_a 7.347
_cell_length_b 7.347
_cell_length_c 8.506
_cell_angle_alpha 112.72
_cell_angle_beta 112.72
_cell_angle_gamma 71.87
loop_
_symmetry_equiv_pos_as_xyz
'x,y,z'
loop_
_atom_site_label
_atom_site_fract_x
_atom_site_fract_y
_atom_site_fract_z
Ce1 0.116 0.743 0.011
Ce2 0.121 0.879 0.750
Ce3 0.142 0.344 0.806
Ce4 0.257 0.884 0.489
Ce5 0.344 0.142 0.306
Ce6 0.656 0.858 0.694
Ce7 0.743 0.116 0.511
Ce8 0.858 0.656 0.194
Ce9 0.879 0.121 0.250
Ce10 0.884 0.257 0.989
Pu1 0.000 0.500 0.500
Pu2 0.500 0.000 0.000
Th1 0.491 0.509 0.250
Th2 0.509 0.491 0.750
# E_form = 229 meV/atom
# total DFT energy (no corrections) = -7.117 eV per atom
# SG = C2/c (15)

***

3.
# PBE-GGA CePuTh2, optimized geometry
data_CePuTh2
_chemical_formula_sum 'Ce1 Pu1 Th2'
_symmetry_space_group_name_H-M 'P 1'
_symmetry_Int_Tables_number 1
_cell_length_a 4.915
_cell_length_b 4.915
_cell_length_c 4.791
_cell_angle_alpha 90.00
_cell_angle_beta 90.00
_cell_angle_gamma 90.00
loop_
_symmetry_equiv_pos_as_xyz
'x,y,z'
loop_
_atom_site_label
_atom_site_fract_x
_atom_site_fract_y
_atom_site_fract_z
Ce1 0.000 0.000 0.000
Pu1 0.500 0.500 0.000
Th1 0.000 0.500 0.500
Th2 0.500 0.000 0.500
# E_form = 62 meV/atom
# polymorph energy (0 for the lowest one) = 0.0000 eV per atom
# total DFT energy (no corrections) = -8.715 eV per atom
# SG = P4/mmm (123)

***

4.
# PBE-GGA Ce4PuTh, optimized geometry
data_Ce4PuTh
_chemical_formula_sum 'Ce4 Pu1 Th1'
_symmetry_space_group_name_H-M 'P 1'
_symmetry_Int_Tables_number 1
_cell_length_a 3.390
_cell_length_b 3.390
_cell_length_c 16.368
_cell_angle_alpha 90.14
_cell_angle_beta 90.14
_cell_angle_gamma 60.07
loop_
_symmetry_equiv_pos_as_xyz
'x,y,z'
loop_
_atom_site_label
_atom_site_fract_x
_atom_site_fract_y
_atom_site_fract_z
Ce1 0.164 0.164 0.161
Ce2 0.167 0.167 0.673
Ce3 0.833 0.833 0.327
Ce4 0.836 0.836 0.839
Pu1 0.500 0.500 0.000
Th1 0.500 0.500 0.500
# E_form = 65 meV/atom
# polymorph energy (0 for the lowest one) = 0.0000 eV per atom
# total DFT energy (no corrections) = -7.516 eV per atom
# SG = C2/m (12)

***

5.
# PBE-GGA CePuTh2, optimized geometry
data_CePuTh2
_chemical_formula_sum 'Ce1 Pu1 Th2'
_symmetry_space_group_name_H-M 'P 1'
_symmetry_Int_Tables_number 1
_cell_length_a 3.503
_cell_length_b 6.633
_cell_length_c 6.633
_cell_angle_alpha 50.00
_cell_angle_beta 90.00
_cell_angle_gamma 90.00
loop_
_symmetry_equiv_pos_as_xyz
'x,y,z'
loop_
_atom_site_label
_atom_site_fract_x
_atom_site_fract_y
_atom_site_fract_z
Ce1 0.000 0.000 0.000
Pu1 0.500 0.832 0.832
Th1 0.000 0.289 0.289
Th2 0.500 0.566 0.566
# E_form = 207 meV/atom
# polymorph energy (0 for the lowest one) = 0.1450 eV per atom
# total DFT energy (no corrections) = -8.570 eV per atom
# SG = Amm2 (38)

***

6.
# PBE-GGA CePuTh, optimized geometry
data_CePuTh
_chemical_formula_sum 'Ce1 Pu1 Th1'
_symmetry_space_group_name_H-M 'P 1'
_symmetry_Int_Tables_number 1
_cell_length_a 7.423
_cell_length_b 7.423
_cell_length_c 7.423
_cell_angle_alpha 153.06
_cell_angle_beta 153.06
_cell_angle_gamma 38.46
loop_
_symmetry_equiv_pos_as_xyz
'x,y,z'
loop_
_atom_site_label
_atom_site_fract_x
_atom_site_fract_y
_atom_site_fract_z
Ce1 0.000 0.000 0.000
Pu1 0.654 0.654 0.000
Th1 0.326 0.326 0.000
# E_form = 99 meV/atom
# polymorph energy (0 for the lowest one) = 0.0000 eV per atom
# total DFT energy (no corrections) = -9.129 eV per atom
# SG = I4mm (107)

***

7.
# PBE-GGA Ce2PuTh, optimized geometry
data_Ce2PuTh
_chemical_formula_sum 'Ce2 Pu1 Th1'
_symmetry_space_group_name_H-M 'P 1'
_symmetry_Int_Tables_number 1
_cell_length_a 9.528
_cell_length_b 9.528
_cell_length_c 9.528
_cell_angle_alpha 21.92
_cell_angle_beta 21.92
_cell_angle_gamma 21.92
loop_
_symmetry_equiv_pos_as_xyz
'x,y,z'
loop_
_atom_site_label
_atom_site_fract_x
_atom_site_fract_y
_atom_site_fract_z
Ce1 0.000 0.000 0.000
Ce2 0.219 0.219 0.219
Pu1 0.615 0.615 0.615
Th1 0.776 0.776 0.776
# E_form = 337 meV/atom
# polymorph energy (0 for the lowest one) = 0.2852 eV per atom
# total DFT energy (no corrections) = -8.068 eV per atom
# SG = R3m (160)

***

8.
# PBE-GGA Ce2PuTh, optimized geometry
data_Ce2PuTh
_chemical_formula_sum 'Ce2 Pu1 Th1'
_symmetry_space_group_name_H-M 'P 1'
_symmetry_Int_Tables_number 1
_cell_length_a 4.747
_cell_length_b 4.747
_cell_length_c 4.858
_cell_angle_alpha 90.00
_cell_angle_beta 90.00
_cell_angle_gamma 90.00
loop_
_symmetry_equiv_pos_as_xyz
'x,y,z'
loop_
_atom_site_label
_atom_site_fract_x
_atom_site_fract_y
_atom_site_fract_z
Ce1 0.000 0.500 0.000
Ce2 0.500 0.000 0.000
Pu1 0.000 0.000 0.500
Th1 0.500 0.500 0.500
# E_form = 51 meV/atom
# polymorph energy (0 for the lowest one) = 0.0000 eV per atom
# total DFT energy (no corrections) = -8.353 eV per atom
# SG = P4/mmm (123)

***

The following ρ values (in g/cm3) correspond, in order, to the records above: 10.3 10.2 12.2 10.6 11.9 12.2 11.9 11.5.
The following Fermi-level density of states values (in states/eV/cell) correspond, in order, to the records above: 15.35 38.35 10.64 16.58 9.15 8.39 8.38 10.79.